# PmTcP2, relaxed, DFT PBE-GGA
# Energy above the lowest structure with this stoichiometry in meV per atom: 352
# V in Å³/cell: 66
# Magnetic moment in μB per atom: 0.00
# Raw total energy in eV per formula unit: -28.0
# Energy relative to the elements in eV/atom: -0.5206
data_PmTcP2
_chemical_formula_sum 'Pm1 Tc1 P2'
_space_group_name_H-M_alt 'P 4/m m m'
_space_group_IT_number 123
_space_group_name_Hall '-P 4 2'
_cell_length_a 3.108
_cell_length_b 3.108
_cell_length_c 6.882
_cell_angle_alpha 90.00
_cell_angle_beta 90.00
_cell_angle_gamma 90.00
loop_
_atom_site_label
_atom_site_fract_x
_atom_site_fract_y
_atom_site_fract_z
Pm1 0.000 0.000 0.000
Tc1 0.000 0.000 0.500
P1 0.500 0.500 0.300